[1]
# SiTcW3 (PBE, optimized geometry)
# - Crystal system: cubic
# - Formation energy (no corrections): 665 kJ/mol of formula units
# - Energy above the lowest structure with this stoichiometry: 0.000 eV per atom
# - Fermi-level density of states: 1.472 states/eV/atom
data_SiTcW3
_space_group_name_H-M_alt 'P m -3 m'
_space_group_IT_number 221
_space_group_name_Hall '-P 4 2 3'
_cell_length_a 4.437
_cell_length_b 4.437
_cell_length_c 4.437
_cell_angle_alpha 90.00
_cell_angle_beta 90.00
_cell_angle_gamma 90.00
loop_
_atom_site_label
_atom_site_type_symbol
_atom_site_fract_x
_atom_site_fract_y
_atom_site_fract_z
Si1 Si 0.000 0.000 0.000
Tc1 Tc 0.500 0.500 0.500
W1 W 0.000 0.000 0.500


[2]
# SrHf2TlHg (PBE, optimized geometry)
# - Crystal system: tetragonal
# - Fermi-level density of states: 1.748 states/eV/atom
# - E_form: 828 kJ/mol of formula units
data_SrHf2TlHg
_space_group_name_H-M_alt 'P 4/m m m'
_space_group_IT_number 123
_space_group_name_Hall '-P 4 2'
_cell_length_a 5.470
_cell_length_b 5.470
_cell_length_c 5.656
_cell_angle_alpha 90.00
_cell_angle_beta 90.00
_cell_angle_gamma 90.00
loop_
_atom_site_label
_atom_site_type_symbol
_atom_site_fract_x
_atom_site_fract_y
_atom_site_fract_z
Sr1 Sr 0.000 0.000 0.000
Hf1 Hf 0.000 0.500 0.000
Tl1 Tl 0.500 0.500 0.500
Hg1 Hg 0.000 0.000 0.500


[3]
# AcPu4Rh4 (PBE, optimized geometry)
# - Crystal system: tetragonal
# - Fermi-level density of states: 2.143 states/eV/atom
# - E_form: 85 kJ/mol of formula units
data_AcPu4Rh4
_space_group_name_H-M_alt 'P 42/n'
_space_group_IT_number 86
_cell_length_a 9.179
_cell_length_b 9.179
_cell_length_c 4.219
_cell_angle_alpha 90.00
_cell_angle_beta 90.00
_cell_angle_gamma 90.00
loop_
_space_group_symop_operation_xyz
'x,y,z'
'-x,-y,-z'
'-y,x+1/2,z+1/2'
'y,-x+1/2,-z+1/2'
'-x+1/2,-y+1/2,z'
'x+1/2,y+1/2,-z'
'y+1/2,-x,z+1/2'
'-y+1/2,x,-z+1/2'
loop_
_atom_site_label
_atom_site_type_symbol
_atom_site_fract_x
_atom_site_fract_y
_atom_site_fract_z
Ac1 Ac 0.250 0.250 0.250
Pu1 Pu 0.132 0.813 0.748
Rh1 Rh 0.033 0.106 0.750


[4]
# ZnAgHgSb (PBE, optimized geometry)
# - Crystal system: cubic
# - Formation energy (no corrections): 66 kJ/mol of formula units
# - Fermi-level density of states: 0.196 states/eV/atom
data_ZnAgHgSb
_space_group_name_H-M_alt 'F -4 3 m'
_space_group_IT_number 216
_space_group_name_Hall 'F -4 2 3'
_cell_length_a 7.025
_cell_length_b 7.025
_cell_length_c 7.025
_cell_angle_alpha 90.00
_cell_angle_beta 90.00
_cell_angle_gamma 90.00
loop_
_atom_site_label
_atom_site_type_symbol
_atom_site_fract_x
_atom_site_fract_y
_atom_site_fract_z
Zn1 Zn 0.000 0.000 0.000
Ag1 Ag 0.000 0.000 0.500
Hg1 Hg 0.250 0.250 0.750
Sb1 Sb 0.250 0.250 0.250


| no. | total magnetic moment (μB per atom) | E_tot (eV/atom) |
| --- | --- | --- |
| 1 | 0.0000 | -9.5510 |
| 2 | 0.0000 | -3.1342 |
| 3 | 0.0011 | -9.9951 |
| 4 | 0.0000 | -1.9675 |